Compound: Ti4GaSn
Source: the Alexandria database
Functional: PBE-GGA
Structure: relaxed

The structure in extended XYZ format:
```
6
Lattice="4.832 -1.831 0.000 4.832 1.831 0.000 -1.968 0.000 5.895" Properties=species:S:1:pos:R:3 pbc="T T T"
Ti 0.926 0.000 2.031
Ti 0.013 0.000 4.856
Ti 7.682 0.000 1.039
Ti 6.769 0.000 3.864
Ga 3.848 0.000 2.948
Sn 4.832 0.000 0.000
```

Values from the calculation:
The total energy is -6.7692 eV per atom. The calculation puts the energy of formation at -2.0 eV per formula unit. Its total magnetization is 0.00 μB/f.u. The space-group type is No. 12. For the density, the calculation gives 6.05 g/cm3. The value obtained for the energy relative to the lowest polymorph listed for this composition is 0.0 kJ/mol of atoms.


Compound: Pr2Sm9Th
Source: the Alexandria database
Functional: PBE-GGA
Structure: relaxed

The structure in extended XYZ format:
```
12
Lattice="5.143 0.000 0.000 0.000 5.143 0.000 0.000 0.000 15.435" Properties=species:S:1:pos:R:3 pbc="T T T"
Pr 0.000 0.000 2.591
Pr 0.000 0.000 12.844
Sm 0.000 2.571 0.000
Sm 0.000 2.571 5.213
Sm 0.000 2.571 10.222
Sm 2.571 0.000 0.000
Sm 2.571 0.000 5.213
Sm 2.571 0.000 10.222
Sm 2.571 2.571 2.577
Sm 2.571 2.571 7.718
Sm 2.571 2.571 12.858
Th 0.000 0.000 7.718
```

Values from the calculation:
The total energy is -4.9294 eV per atom. The calculation puts the energy of formation at 0.3 eV per formula unit. Its total magnetization is 0.00 μB/f.u. The space-group type is No. 123. For the density, the calculation gives 7.59 g/cm3.


Compound: ZrTlHPd2
Source: the Alexandria database
Functional: PBE-GGA
Structure: relaxed

The structure in extended XYZ format:
```
5
Lattice="4.247 0.000 0.000 0.000 4.247 0.000 0.000 0.000 4.328" Properties=species:S:1:pos:R:3 pbc="T T T"
Zr 0.000 0.000 0.000
Tl 2.124 2.124 0.000
H 0.000 0.000 2.164
Pd 0.000 2.124 2.164
Pd 2.124 0.000 2.164
```

Values from the calculation:
The total energy is -5.1532 eV per atom. Its total magnetization is 0.00 μB/f.u. The space-group type is No. 123. For the density, the calculation gives 10.84 g/cm3.